The following is a GGA-PBE calculation of Pm4SmHg5 after structural relaxation, from the Alexandria database.

abc: 3.8189 3.8189 18.9488
angles: 90.00 90.00 90.00
Closest atoms and distances in Å follow each position.
Fractional coordinates of all 10 atoms:
Pm (0.0000, 0.0000, 0.3997)  8 Hg 3.30
Hg (0.5000, 0.5000, 0.5000)  8 Pm 3.30
Sm (0.0000, 0.0000, 0.0000)  8 Hg 3.28
Pm (0.0000, 0.0000, 0.8007)  8 Hg 3.30-3.31
Hg (0.5000, 0.5000, 0.7004)  8 Pm 3.30
Pm (0.0000, 0.0000, 0.1993)  8 Hg 3.30-3.31
Hg (0.5000, 0.5000, 0.9014)  4 Sm 3.28, 4 Pm 3.31
Pm (0.0000, 0.0000, 0.6003)  8 Hg 3.30
Hg (0.5000, 0.5000, 0.2996)  8 Pm 3.30
Hg (0.5000, 0.5000, 0.0986)  4 Sm 3.28, 4 Pm 3.31

Computed properties:
- space group = No. 123
- total magnetization (Bohr magnetons per cell) = 2.14
- energy relative to the elements (meV/atom) = -474